Compound: Tm2MnIn
Source: Alexandria via LeMat-Bulk
Functional: PBE
Structure: relaxed

Summary:
ρ (g/cm³): 8.84
Polymorph energy (0 for the lowest one) (meV/atom): 70
Electronic total energy (eV per atom): -5.311
Crystal system: cubic

a b c (Å): 5.127 5.127 5.127
angles (deg): 60.00 60.00 60.00
Each line ends with the local moment (μB).
Positions (direct):
Tm: 0.250 0.250 0.250  -0.20
Tm: 0.750 0.750 0.750  -0.20
Mn: 0.500 0.500 0.500  3.62
In: 0.000 0.000 0.000  0.00